The following is a GGA-PBE calculation of ThBRh2 after structural relaxation, from the Alexandria database.

Cell lengths 3.855, 3.855, 5.644 Å; angles 70.03, 70.03, 60.00 degrees
Fractional positions:
Rh: 0.714 0.714 0.857
Rh: 0.286 0.286 0.143
Th: 0.500 0.500 0.500
B: 0.000 0.000 0.000

Calculated values
For the formation energy from the elements, the calculation gives -0.507 eV per atom. Its mass density is 11.16 g/cm3. The density of states at the Fermi level comes out at 0.47 states/eV per atom.